NiH23C14S2Br2N: relaxed, PBE.

Total magnetization ... 2.00 μB per formula unit
Volume ... 10.66 A^3/atom
Total energy ... -474.75 eV/cell

CIF file:
```
data_NiH23C14S2Br2N
_cell_length_a 7.497
_cell_length_b 12.931
_cell_length_c 10.092
_cell_angle_alpha 90.00
_cell_angle_beta 110.50
_cell_angle_gamma 90.00
_space_group_name_H-M_alt 'P 1 21 1'
_space_group_IT_number 4
_space_group_name_Hall 'P 2yb'
loop_
_atom_site_label
_atom_site_type_symbol
_atom_site_fract_x
_atom_site_fract_y
_atom_site_fract_z
Ni1 Ni 0.164 0.000 0.069
H1 H 0.010 0.304 0.492
H2 H 0.017 0.077 0.360
H3 H 0.053 0.210 0.947
H4 H 0.061 0.736 0.793
H5 H 0.089 0.802 0.295
H6 H 0.118 0.427 0.540
H7 H 0.151 0.657 0.947
H8 H 0.153 0.305 0.080
H9 H 0.181 0.913 0.398
H10 H 0.199 0.104 0.764
H11 H 0.215 0.317 0.648
H12 H 0.230 0.582 0.746
H13 H 0.235 0.323 0.313
H14 H 0.270 0.914 0.789
H15 H 0.315 0.688 0.337
H16 H 0.329 0.966 0.647
H17 H 0.357 0.521 0.465
H18 H 0.375 0.260 0.947
H19 H 0.394 0.003 0.297
H20 H 0.445 0.130 0.786
H21 H 0.477 0.236 0.130
H22 H 0.484 0.339 0.551
H23 H 0.487 0.439 0.190
C1 C 0.047 0.660 0.838
C2 C 0.049 0.874 0.334
C3 C 0.082 0.355 0.583
C4 C 0.086 0.575 0.749
C5 C 0.169 0.225 0.048
C6 C 0.295 0.161 0.291
C7 C 0.323 0.256 0.361
C8 C 0.347 0.076 0.811
C9 C 0.362 0.212 0.033
C10 C 0.366 0.967 0.762
C11 C 0.412 0.077 0.353
C12 C 0.421 0.681 0.443
C13 C 0.447 0.587 0.514
C14 C 0.464 0.265 0.494
S1 S 0.063 0.450 0.825
S2 S 0.411 0.078 0.002
Br1 Br 0.092 0.512 0.161
Br2 Br 0.329 0.835 0.117
N1 N 0.145 0.149 0.152
```

NiH24C6S6Br2N12: relaxed, PBE.

Total magnetization ... 2.00 μB per formula unit
Volume ... 11.47 A^3/atom
Total energy ... -1131.57 eV/cell

CIF file:
```
data_NiH24C6S6Br2N12
_cell_length_a 22.326
_cell_length_b 8.784
_cell_length_c 16.318
_cell_angle_alpha 90.00
_cell_angle_beta 133.02
_cell_angle_gamma 90.00
_space_group_name_H-M_alt 'C 1 2/c 1'
_space_group_IT_number 15
_space_group_name_Hall '-C 2yc'
loop_
_atom_site_label
_atom_site_type_symbol
_atom_site_fract_x
_atom_site_fract_y
_atom_site_fract_z
Ni1 Ni 0.000 0.000 0.000
H1 H 0.031 0.444 0.105
H2 H 0.050 0.125 0.712
H3 H 0.083 0.478 0.247
H4 H 0.097 0.279 0.809
H5 H 0.113 0.162 0.977
H6 H 0.119 0.237 0.551
H7 H 0.134 0.255 0.392
H8 H 0.194 0.239 0.169
H9 H 0.199 0.117 0.996
H10 H 0.205 0.110 0.435
H11 H 0.208 0.345 0.653
H12 H 0.210 0.399 0.122
C1 C 0.034 0.334 0.646
C2 C 0.111 0.048 0.422
C3 C 0.200 0.145 0.709
S1 S 0.021 0.106 0.383
S2 S 0.025 0.267 0.989
S3 S 0.143 0.013 0.179
Br1 Br 0.169 0.479 0.951
N1 N 0.050 0.482 0.667
N2 N 0.062 0.239 0.729
N3 N 0.141 0.091 0.963
N4 N 0.150 0.143 0.407
N5 N 0.173 0.251 0.632
N6 N 0.227 0.336 0.188
```

ZnH10C18Br2N2O4: relaxed, PBE.

Volume ... 11.62 A^3/atom
Total energy ... -495.85 eV/cell

CIF file:
```
data_ZnH10C18Br2N2O4
_cell_length_a 9.590
_cell_length_b 9.680
_cell_length_c 11.117
_cell_angle_alpha 87.41
_cell_angle_beta 68.83
_cell_angle_gamma 64.37
_space_group_name_H-M_alt 'P -1'
_space_group_IT_number 2
_space_group_name_Hall '-P 1'
loop_
_atom_site_label
_atom_site_type_symbol
_atom_site_fract_x
_atom_site_fract_y
_atom_site_fract_z
Zn1 Zn 0.055 0.497 0.291
H1 H 0.006 0.253 0.110
H2 H 0.102 0.170 0.564
H3 H 0.229 0.730 0.541
H4 H 0.252 0.609 0.822
H5 H 0.303 0.248 0.645
H6 H 0.306 0.071 0.009
H7 H 0.356 0.762 0.092
H8 H 0.432 0.271 0.134
H9 H 0.450 0.587 0.249
H10 H 0.464 0.067 0.771
C1 C 0.006 0.655 0.069
C2 C 0.016 0.981 0.373
C3 C 0.058 0.095 0.536
C4 C 0.074 0.248 0.006
C5 C 0.075 0.077 0.407
C6 C 0.143 0.171 0.314
C7 C 0.186 0.543 0.016
C8 C 0.232 0.472 0.455
C9 C 0.243 0.146 0.949
C10 C 0.243 0.244 0.748
C11 C 0.295 0.533 0.889
C12 C 0.330 0.143 0.818
C13 C 0.348 0.630 0.522
C14 C 0.370 0.485 0.480
C15 C 0.400 0.344 0.061
C16 C 0.461 0.423 0.849
C17 C 0.477 0.643 0.542
C18 C 0.485 0.674 0.064
Br1 Br 0.032 0.957 0.199
Br2 Br 0.437 0.841 0.608
N1 N 0.080 0.343 0.803
N2 N 0.240 0.449 0.099
O1 O 0.027 0.306 0.315
O2 O 0.160 0.397 0.525
O3 O 0.202 0.537 0.359
O4 O 0.295 0.119 0.248
```

Re3H20C15S4BrN10: relaxed, PBE.

Total magnetization ... 0.00 μB per formula unit
Volume ... 11.76 A^3/atom
Total energy ... -700.66 eV/cell

CIF file:
```
data_Re3H20C15S4BrN10
_cell_length_a 10.933
_cell_length_b 11.093
_cell_length_c 11.498
_cell_angle_alpha 74.24
_cell_angle_beta 68.78
_cell_angle_gamma 88.86
_space_group_name_H-M_alt 'P -1'
_space_group_IT_number 2
_space_group_name_Hall '-P 1'
loop_
_atom_site_label
_atom_site_type_symbol
_atom_site_fract_x
_atom_site_fract_y
_atom_site_fract_z
Re1 Re 0.019 0.408 0.151
Re2 Re 0.081 0.382 0.919
Re3 Re 0.160 0.588 0.948
H1 H 0.001 0.243 0.639
H2 H 0.009 0.126 0.854
H3 H 0.045 0.575 0.552
H4 H 0.116 0.063 0.515
H5 H 0.122 0.140 0.286
H6 H 0.157 0.100 0.028
H7 H 0.194 0.002 0.702
H8 H 0.214 0.450 0.544
H9 H 0.265 0.917 0.333
H10 H 0.306 0.337 0.345
H11 H 0.313 0.918 0.950
H12 H 0.354 0.798 0.697
H13 H 0.360 0.655 0.463
H14 H 0.378 0.311 0.746
H15 H 0.378 0.803 0.165
H16 H 0.380 0.192 0.114
H17 H 0.410 0.631 0.039
H18 H 0.429 0.138 0.639
H19 H 0.434 0.086 0.337
H20 H 0.480 0.502 0.836
C1 C 0.002 0.663 0.557
C2 C 0.022 0.243 0.540
C3 C 0.079 0.152 0.480
C4 C 0.115 0.146 0.807
C5 C 0.205 0.032 0.081
C6 C 0.209 0.084 0.731
C7 C 0.284 0.939 0.042
C8 C 0.295 0.479 0.451
C9 C 0.318 0.880 0.148
C10 C 0.329 0.151 0.698
C11 C 0.343 0.424 0.350
C12 C 0.431 0.695 0.942
C13 C 0.451 0.506 0.257
C14 C 0.463 0.215 0.136
C15 C 0.488 0.161 0.249
S1 S 0.056 0.775 0.887
S2 S 0.093 0.606 0.167
S3 S 0.206 0.556 0.737
S4 S 0.242 0.387 0.017
Br1 Br 0.318 0.865 0.510
N1 N 0.037 0.304 0.331
N2 N 0.086 0.191 0.355
N3 N 0.174 0.246 0.820
N4 N 0.189 0.031 0.203
N5 N 0.259 0.938 0.241
N6 N 0.305 0.246 0.752
N7 N 0.347 0.694 0.882
N8 N 0.373 0.587 0.416
N9 N 0.398 0.783 0.766
N10 N 0.469 0.606 0.297
```